[1]
An optimized crystal structure of Pm4SmHo4, computed with GGA-PBE.

abc: 8.0333 8.0333 8.0333
angles: 95.71 95.71 143.23
With the nearest neighbours (Å) after each atom.
Positions (direct):
Pm: 0.0000 0.3314 0.3314  1 Sm 3.57, 6 Ho 3.58-3.60, 5 Pm 3.61-3.64
Pm: 0.0000 0.6686 0.6686  1 Sm 3.57, 6 Ho 3.58-3.60, 5 Pm 3.61-3.64
Pm: 0.3314 0.0000 0.3314  1 Sm 3.57, 6 Ho 3.58-3.60, 5 Pm 3.61-3.64
Pm: 0.6686 0.0000 0.6686  1 Sm 3.57, 6 Ho 3.58-3.60, 5 Pm 3.61-3.64
Sm: 0.0000 0.0000 0.0000  4 Pm 3.57, 8 Ho 3.59
Ho: 0.3336 0.3336 0.6672  6 Pm 3.58-3.60, 2 Sm 3.59, 4 Ho 3.59
Ho: 0.3336 0.6664 0.0000  6 Pm 3.58-3.60, 2 Sm 3.59, 4 Ho 3.59
Ho: 0.6664 0.3336 0.0000  6 Pm 3.58-3.60, 2 Sm 3.59, 4 Ho 3.59
Ho: 0.6664 0.6664 0.3328  6 Pm 3.58-3.60, 2 Sm 3.59, 4 Ho 3.59

Properties
As for the formation enthalpy at 0 K: 0.0175 eV/atom. Its density of states at the Fermi level is 13.003 states/eV/cell. Its space group is No. 139.


[2]
An optimized crystal structure of LiSn2Hg2, computed with GGA-PBE.

abc: 7.6306 7.6306 7.6306
angles: 145.86 145.86 49.06
With the nearest neighbours (Å) after each atom.
Positions (direct):
Li: 0.0000 0.0000 0.0000  8 Hg 3.45
Sn: 0.2500 0.7500 0.5000  4 Hg 3.07, 4 Sn 3.17
Sn: 0.7500 0.2500 0.5000  4 Hg 3.07, 4 Sn 3.17
Hg: 0.4011 0.4011 0.0000  1 Hg 2.75, 4 Sn 3.07
Hg: 0.5989 0.5989 0.0000  1 Hg 2.75, 4 Sn 3.07

Properties
Its energy relative to the lowest polymorph listed for this composition is 0.138 eV per atom. As for the formation enthalpy at 0 K: 0.0048 eV/atom. Its density of states at the Fermi level is 1.644 states/eV/cell. Its space group is No. 139.


[3]
An optimized crystal structure of TcSbAs2, computed with GGA-PBE.

abc: 3.0974 3.0974 8.2587
angles: 90.00 90.00 90.00
With the nearest neighbours (Å) after each atom.
Positions (direct):
Tc: 0.0000 0.0000 0.0000  8 As 2.64
Sb: 0.0000 0.0000 0.5000  4 Sb 3.10, 8 As 3.44
As: 0.5000 0.5000 0.1794  4 Tc 2.64
As: 0.5000 0.5000 0.8206  4 Tc 2.64

Properties
Its uncorrected formation energy is 0 kJ/mol of atoms. Its density of states at the Fermi level is 2.130 states/eV/cell. Its space group is No. 123.


[4]
An optimized crystal structure of Ho4Mg2In, computed with GGA-PBE.

abc: 10.0087 10.0087 10.0087
angles: 29.84 29.84 29.84
With the nearest neighbours (Å) after each atom.
Positions (direct):
Ho: 0.1259 0.1259 0.1259  3 In 3.20, 3 Mg 3.36
Ho: 0.2943 0.2943 0.2943  4 Mg 3.12-3.16
Ho: 0.7057 0.7057 0.7057  4 Mg 3.12-3.16
Ho: 0.8741 0.8741 0.8741  3 In 3.20, 3 Mg 3.36
Mg: 0.4046 0.4046 0.4046  1 In 2.73
Mg: 0.5954 0.5954 0.5954  1 In 2.73
In: 0.5000 0.5000 0.5000  2 Mg 2.73

Properties
Its energy relative to the lowest polymorph listed for this composition is 0.206 eV per atom. As for the formation enthalpy at 0 K: 0.2096 eV/atom. Its density of states at the Fermi level is 9.028 states/eV/cell. Its space group is No. 166.


[5]
An optimized crystal structure of CePrNd6Tm2, computed with GGA-PBE.

abc: 6.6515 6.6515 8.9563
angles: 100.41 100.41 63.37
With the nearest neighbours (Å) after each atom.
Positions (direct):
Ce: 0.0000 0.0000 0.0000  6 Nd 3.41-3.75
Pr: 0.5000 0.5000 0.5000  4 Nd 3.38, 2 Tm 3.46
Nd: 0.0965 0.5670 0.1987  2 Tm 3.23-3.48, 1 Nd 3.29, 1 Pr 3.38, 1 Ce 3.41
Nd: 0.1329 0.1329 0.4203  7 Nd 3.59-4.01, 1 Ce 3.75, 2 Pr 3.93
Nd: 0.4330 0.9035 0.8013  2 Tm 3.23-3.48, 1 Nd 3.29, 1 Pr 3.38, 1 Ce 3.41
Nd: 0.5670 0.0965 0.1987  2 Tm 3.23-3.48, 1 Nd 3.29, 1 Pr 3.38, 1 Ce 3.41
Nd: 0.8671 0.8671 0.5797  7 Nd 3.59-4.01, 1 Ce 3.75, 2 Pr 3.93
Nd: 0.9035 0.4330 0.8013  2 Tm 3.23-3.48, 1 Nd 3.29, 1 Pr 3.38, 1 Ce 3.41
Tm: 0.4070 0.4070 0.8443  1 Tm 3.12, 4 Nd 3.23-3.48, 1 Pr 3.46
Tm: 0.5930 0.5930 0.1557  1 Tm 3.12, 4 Nd 3.23-3.48, 1 Pr 3.46

Properties
As for the formation enthalpy at 0 K: 0.2347 eV/atom. Its density of states at the Fermi level is 22.944 states/eV/cell. Its space group is No. 12.


[6]
An optimized crystal structure of ZnCdAgAu, computed with GGA-PBE.

abc: 3.0721 7.7549 7.7549
angles: 24.25 90.00 90.00
With the nearest neighbours (Å) after each atom.
Positions (direct):
Zn: 0.0000 0.0000 0.0000  2 Ag 2.65, 4 Au 2.70
Cd: 0.0000 0.2307 0.2307  4 Ag 2.95, 4 Au 2.99, 4 Cd 3.07-3.26
Ag: 0.5000 0.8572 0.8572  2 Zn 2.65, 4 Cd 2.95
Au: 0.5000 0.5999 0.5999  4 Zn 2.70, 4 Cd 2.99

Properties
As for the formation enthalpy at 0 K: -0.0565 eV/atom. Its density of states at the Fermi level is 0.663 states/eV/cell. Its space group is No. 38.


[7]
An optimized crystal structure of Pu2PaBi, computed with GGA-PBE.

abc: 7.5042 7.5042 7.5042
angles: 31.94 31.94 31.94
With the nearest neighbours (Å) after each atom.
Positions (direct):
Pu: 0.2349 0.2349 0.2349  3 Pa 2.79
Pu: 0.7651 0.7651 0.7651  3 Pa 2.79
Pa: 0.5000 0.5000 0.5000  6 Pu 2.79
Bi: 0.0000 0.0000 0.0000  6 Pu 3.18

Properties
Its energy relative to the lowest polymorph listed for this composition is 0.347 eV per atom. As for the formation enthalpy at 0 K: 0.2486 eV/atom. Its density of states at the Fermi level is 7.727 states/eV/cell. Its space group is No. 166.


[8]
An optimized crystal structure of Pu2PtO, computed with GGA-PBE.

abc: 5.4190 5.4190 5.4190
angles: 43.30 43.30 43.30
With the nearest neighbours (Å) after each atom.
Positions (direct):
Pu: 0.2053 0.2053 0.2053  3 O 2.38, 3 Pu 2.57
Pu: 0.7947 0.7947 0.7947  3 O 2.38, 3 Pu 2.57
Pt: 0.0000 0.0000 0.0000  8 Pu 2.98-3.02
O: 0.5000 0.5000 0.5000  6 Pu 2.38

Properties
Its uncorrected formation energy is -60 kJ/mol of atoms. Its energy relative to the lowest polymorph listed for this composition is 0.607 eV per atom. Its density of states at the Fermi level is 8.259 states/eV/cell. Its space group is No. 166.


[9]
An optimized crystal structure of Nd3HgI3, computed with GGA-PBE.

abc: 10.9980 10.9980 10.9980
angles: 109.47 109.47 109.47
With the nearest neighbours (Å) after each atom.
Positions (direct):
Nd: 0.0108 0.0215 0.2608  2 Hg 3.04, 4 I 3.28-3.32
Nd: 0.0108 0.4892 0.7500  2 Hg 3.04, 4 I 3.28-3.32
Nd: 0.0215 0.2608 0.0108  2 Hg 3.04, 4 I 3.28-3.32
Nd: 0.2392 0.2608 0.7500  2 Hg 3.04, 4 I 3.28-3.32
Nd: 0.2392 0.4785 0.4892  2 Hg 3.04, 4 I 3.28-3.32
Nd: 0.2608 0.0108 0.0215  2 Hg 3.04, 4 I 3.28-3.32
Nd: 0.2608 0.7500 0.2392  2 Hg 3.04, 4 I 3.28-3.32
Nd: 0.4785 0.4892 0.2392  2 Hg 3.04, 4 I 3.28-3.32
Nd: 0.4892 0.2392 0.4785  2 Hg 3.04, 4 I 3.28-3.32
Nd: 0.4892 0.7500 0.0108  2 Hg 3.04, 4 I 3.28-3.32
Nd: 0.7500 0.0108 0.4892  2 Hg 3.04, 4 I 3.28-3.32
Nd: 0.7500 0.2392 0.2608  2 Hg 3.04, 4 I 3.28-3.32
Hg: 0.0000 0.2500 0.5000  6 Nd 3.04
Hg: 0.2500 0.2500 0.2500  6 Nd 3.04
Hg: 0.2500 0.5000 0.0000  6 Nd 3.04
Hg: 0.5000 0.0000 0.2500  6 Nd 3.04
I: 0.2500 0.7572 0.7428  4 Nd 3.28-3.32
I: 0.2500 0.9928 0.5072  4 Nd 3.28-3.32
I: 0.5072 0.2500 0.9928  4 Nd 3.28-3.32
I: 0.5072 0.7572 0.5145  4 Nd 3.28-3.32
I: 0.5145 0.5072 0.7572  4 Nd 3.28-3.32
I: 0.7428 0.2500 0.7572  4 Nd 3.28-3.32
I: 0.7428 0.9928 0.9855  4 Nd 3.28-3.32
I: 0.7572 0.5145 0.5072  4 Nd 3.28-3.32
I: 0.7572 0.7428 0.2500  4 Nd 3.28-3.32
I: 0.9855 0.7428 0.9928  4 Nd 3.28-3.32
I: 0.9928 0.5072 0.2500  4 Nd 3.28-3.32
I: 0.9928 0.9855 0.7428  4 Nd 3.28-3.32

Properties
Its uncorrected formation energy is -94 kJ/mol of atoms. Its density of states at the Fermi level is 17.595 states/eV/cell. Its space group is No. 214.


[10]
An optimized crystal structure of YSi2TcNi, computed with GGA-PBE.

abc: 5.1824 5.1824 4.9286
angles: 90.00 90.00 90.00
With the nearest neighbours (Å) after each atom.
Positions (direct):
Y: 0.0000 0.0000 0.0000  2 Tc 2.46, 4 Si 2.59
Si: 0.0000 0.5000 0.0000  2 Y 2.59
Si: 0.5000 0.0000 0.0000  2 Y 2.59
Tc: 0.0000 0.0000 0.5000  2 Y 2.46
Ni: 0.5000 0.5000 0.5000  8 Si 3.58, 4 Tc 3.66

Properties
Its uncorrected formation energy is 194 kJ/mol of atoms. Its energy relative to the lowest polymorph listed for this composition is 1.801 eV per atom. Its density of states at the Fermi level is 6.449 states/eV/cell. Its space group is No. 123.


[11]
An optimized crystal structure of CoNiPd6, computed with GGA-PBE.

abc: 4.7319 5.0663 5.0760
angles: 93.18 91.32 91.71
With the nearest neighbours (Å) after each atom.
Positions (direct):
Co: 0.0000 0.0000 0.0000  8 Pd 2.54-2.74
Ni: 0.5000 0.5000 0.5000  8 Pd 2.54-2.73
Pd: 0.0159 0.7495 0.4630  6 Pd 2.55-2.85, 2 Ni 2.66-2.73, 1 Co 2.73
Pd: 0.2506 0.5645 0.9352  1 Ni 2.54, 1 Co 2.54, 6 Pd 2.55-2.84
Pd: 0.4845 0.0374 0.7502  6 Pd 2.56-2.85, 2 Co 2.65-2.74, 1 Ni 2.73
Pd: 0.5155 0.9626 0.2498  6 Pd 2.56-2.85, 2 Co 2.65-2.74, 1 Ni 2.73
Pd: 0.7494 0.4355 0.0648  1 Ni 2.54, 1 Co 2.54, 6 Pd 2.55-2.84
Pd: 0.9841 0.2505 0.5370  6 Pd 2.55-2.85, 2 Ni 2.66-2.73, 1 Co 2.73

Properties
Its energy relative to the lowest polymorph listed for this composition is 0.145 eV per atom. As for the formation enthalpy at 0 K: 0.1821 eV/atom. Its density of states at the Fermi level is 12.346 states/eV/cell. Its space group is No. 2.


[12]
An optimized crystal structure of InFe4Pb, computed with GGA-PBE.

abc: 5.1012 5.1012 5.1012
angles: 60.00 60.00 60.00
With the nearest neighbours (Å) after each atom.
Positions (direct):
In: 0.0000 0.0000 0.0000  12 Fe 2.99, 4 Pb 3.12
Fe: 0.3741 0.3741 0.3741  6 Fe 2.53-2.57
Fe: 0.3741 0.3741 0.8777  6 Fe 2.53-2.57
Fe: 0.3741 0.8777 0.3741  6 Fe 2.53-2.57
Fe: 0.8777 0.3741 0.3741  6 Fe 2.53-2.57
Pb: 0.7500 0.7500 0.7500  12 Fe 2.99, 4 In 3.12

Properties
As for the formation enthalpy at 0 K: 0.2945 eV/atom. Its density of states at the Fermi level is 5.599 states/eV/cell. Its space group is No. 216.


| no. | calculated density (Mg/m³) |
| --- | --- |
| 1 | 7.84 |
| 2 | 7.69 |
| 3 | 7.75 |
| 4 | 6.22 |
| 5 | 7.12 |
| 6 | 10.56 |
| 7 | 14.66 |
| 8 | 17.10 |
| 9 | 6.58 |
| 10 | 3.79 |
| 11 | 10.34 |
| 12 | 9.65 |